Record 1
Below is a geometry-optimized TaRe3Br structure, with properties calculated at the PBE-GGA level.

The structure in POSCAR format:
```
TaRe3Br
1.0
4.516 0.000 0.000
0.000 4.516 0.000
0.000 0.000 4.516
Ta Re Br
1 3 1
Direct
0.000 0.000 0.000
0.000 0.500 0.500
0.500 0.000 0.500
0.500 0.500 0.000
0.500 0.500 0.500
```

Summary:
E = -8.05 eV per atom
size of the total moment = 0.000 μB/atom
space-group type = Pm-3m
E_form (uncorrected) = 10.60 eV/f.u.

Record 2
Below is a geometry-optimized TaRe2Br structure, with properties calculated at the PBE-GGA level.

The structure in POSCAR format:
```
TaRe2Br
1.0
5.093 -1.510 0.000
5.093 1.510 0.000
-0.364 0.000 4.486
Ta Re Br
1 2 1
Direct
0.000 0.000 0.000
0.284 0.284 0.785
0.716 0.716 0.215
0.500 0.500 0.500
```

Summary:
E = -8.93 eV per atom
size of the total moment = 0.000 μB/atom
space-group type = C2/m
E_form (uncorrected) = 2.72 eV/f.u.

Record 3
Below is a geometry-optimized TaReBr2 structure, with properties calculated at the PBE-GGA level.

The structure in POSCAR format:
```
TaReBr2
1.0
0.000 3.246 3.246
3.246 0.000 3.246
3.246 3.246 0.000
Ta Re Br
1 1 2
Direct
0.000 0.000 0.000
0.500 0.500 0.500
0.250 0.250 0.250
0.750 0.750 0.750
```

Summary:
E = -5.58 eV per atom
size of the total moment = 0.000 μB/atom
space-group type = Fm-3m
E_form (uncorrected) = 5.34 eV/f.u.

Record 4
Below is a geometry-optimized TaReBr2 structure, with properties calculated at the PBE-GGA level.

The structure in POSCAR format:
```
TaReBr2
1.0
4.660 0.000 0.000
0.000 3.122 0.000
-1.825 0.000 4.872
Ta Re Br
1 1 2
Direct
0.000 0.000 0.000
0.000 0.500 0.500
0.500 0.000 0.500
0.500 0.500 0.000
```

Summary:
E = -6.02 eV per atom
size of the total moment = 0.000 μB/atom
space-group type = P2/m
E_form (uncorrected) = 3.58 eV/f.u.

Record 5
Below is a geometry-optimized TaReBr2 structure, with properties calculated at the PBE-GGA level.

The structure in POSCAR format:
```
TaReBr2
1.0
-2.120 2.120 4.062
2.120 -2.120 4.062
2.120 2.120 -4.062
Ta Re Br
1 1 2
Direct
0.000 0.000 0.000
0.500 0.500 0.000
0.250 0.750 0.500
0.750 0.250 0.500
```

Summary:
E = -5.51 eV per atom
size of the total moment = 0.294 μB/atom
space-group type = I4/mmm
E_form (uncorrected) = 5.62 eV/f.u.

Record 6
Below is a geometry-optimized TaRe2Br structure, with properties calculated at the PBE-GGA level.

The structure in POSCAR format:
```
TaRe2Br
1.0
-1.521 2.296 4.666
1.521 -2.296 4.666
1.521 2.296 -4.666
Ta Re Br
1 2 1
Direct
0.000 0.000 0.000
0.477 0.477 0.000
0.719 0.219 0.500
0.238 0.738 0.500
```

Summary:
E = -8.81 eV per atom
size of the total moment = 0.000 μB/atom
space-group type = Imm2
E_form (uncorrected) = 3.18 eV/f.u.

Record 7
Below is a geometry-optimized TaRe2Br structure, with properties calculated at the PBE-GGA level.

The structure in POSCAR format:
```
TaRe2Br
1.0
-1.920 1.920 4.544
1.920 -1.920 4.544
1.920 1.920 -4.544
Ta Re Br
1 2 1
Direct
0.000 0.000 0.000
0.250 0.750 0.500
0.750 0.250 0.500
0.500 0.500 0.000
```

Summary:
E = -8.45 eV per atom
size of the total moment = 0.000 μB/atom
space-group type = I4/mmm
E_form (uncorrected) = 4.60 eV/f.u.

Record 8
Below is a geometry-optimized TaRe2Br structure, with properties calculated at the PBE-GGA level.

The structure in POSCAR format:
```
TaRe2Br
1.0
2.963 0.000 0.000
0.000 4.693 0.000
0.000 0.000 4.707
Ta Re Br
1 2 1
Direct
0.000 0.000 0.000
0.000 0.500 0.500
0.500 0.500 0.000
0.500 0.000 0.500
```

Summary:
E = -8.78 eV per atom
size of the total moment = 0.000 μB/atom
space-group type = Pmmm
E_form (uncorrected) = 3.31 eV/f.u.

Record 9
Below is a geometry-optimized TaReBr2 structure, with properties calculated at the PBE-GGA level.

The structure in POSCAR format:
```
TaReBr2
1.0
-1.670 2.301 6.155
1.670 -2.301 6.155
1.670 2.301 -6.155
Ta Re Br
1 1 2
Direct
0.000 0.000 0.000
0.859 0.359 0.500
0.361 0.861 0.500
0.625 0.625 0.000
```

Summary:
E = -6.27 eV per atom
size of the total moment = 0.000 μB/atom
space-group type = Imm2
E_form (uncorrected) = 2.57 eV/f.u.

Record 10
Below is a geometry-optimized TaRe2Br structure, with properties calculated at the PBE-GGA level.

The structure in POSCAR format:
```
TaRe2Br
1.0
-2.892 2.892 5.607
2.892 -2.892 5.607
2.892 2.892 -5.607
Ta Re Br
2 4 2
Direct
0.000 0.000 0.000
0.750 0.250 0.500
0.143 0.625 0.018
0.375 0.393 0.518
0.607 0.125 0.982
0.875 0.857 0.482
0.250 0.750 0.500
0.500 0.500 0.000
```

Summary:
E = -7.84 eV per atom
size of the total moment = 0.000 μB/atom
space-group type = I-42d
E_form (uncorrected) = 7.07 eV/f.u.

Record 11
Below is a geometry-optimized TaReBr2 structure, with properties calculated at the PBE-GGA level.

The structure in POSCAR format:
```
TaReBr2
1.0
-1.613 2.153 7.516
1.613 -2.153 7.516
1.613 2.153 -7.516
Ta Re Br
1 1 2
Direct
0.000 0.000 0.000
0.500 0.500 0.000
0.147 0.647 0.500
0.853 0.353 0.500
```

Summary:
E = -6.44 eV per atom
size of the total moment = 0.415 μB/atom
space-group type = Immm
E_form (uncorrected) = 1.89 eV/f.u.

Record 12
Below is a geometry-optimized TaReBr2 structure, with properties calculated at the PBE-GGA level.

The structure in POSCAR format:
```
TaReBr2
1.0
1.552 0.896 8.947
-1.552 0.896 8.947
0.000 -1.792 8.947
Ta Re Br
1 1 2
Direct
0.000 0.000 0.000
0.500 0.500 0.500
0.408 0.408 0.408
0.592 0.592 0.592
```

Summary:
E = -6.12 eV per atom
size of the total moment = 0.000 μB/atom
space-group type = R-3m
E_form (uncorrected) = 3.15 eV/f.u.